(1)
An optimized crystal structure of Tl2InTe4As. Source: Alexandria, functional PBE-GGA.

Properties
**VASP energy**: -3.274 eV per atom
**SG**: Imma (74)

Cell lengths 8.9722, 8.9722, 8.9756 Å; angles 120.01, 120.01, 90.18 degrees
Sites, in units of the cell vectors:
Tl (0.5000, 0.0000, 0.0000)
Tl (0.5000, 0.0000, 0.5000)
Tl (0.0000, 0.0000, 0.5000)
Tl (0.5000, 0.5000, 0.0000)
In (0.0000, 0.5000, 0.0000)
In (0.0000, 0.5000, 0.5000)
Te (0.2158, 0.7454, 0.9805)
Te (0.7546, 0.2842, 0.5195)
Te (0.2454, 0.7158, 0.4805)
Te (0.7842, 0.2546, 0.0195)
Te (0.7596, 0.7405, 0.9707)
Te (0.7595, 0.7404, 0.5293)
Te (0.2405, 0.2596, 0.4707)
Te (0.2404, 0.2595, 0.0293)
As (0.5000, 0.5000, 0.5000)
As (0.0000, 0.0000, 0.0000)

***

(2)
An optimized crystal structure of Tm4InTe2As. Source: Alexandria, functional PBE-GGA.

Properties
**VASP energy**: -5.010 eV per atom
**SG**: P2/m (10)

Cell lengths 4.1608, 7.4571, 7.4589 Å; angles 108.45, 90.00, 90.00 degrees
Sites, in units of the cell vectors:
Tm (0.5000, 0.2348, 0.2220)
Tm (0.5000, 0.7652, 0.7780)
Tm (0.0000, 0.2472, 0.7652)
Tm (0.0000, 0.7528, 0.2348)
In (0.5000, 0.5000, 0.0000)
Te (0.5000, 0.0000, 0.5000)
Te (0.0000, 0.5000, 0.5000)
As (0.0000, 0.0000, 0.0000)

***

(3)
An optimized crystal structure of Tm6InTe3As2. Source: Alexandria, functional PBE-GGA.

Properties
**VASP energy**: -5.216 eV per atom
**SG**: C2/m (12)

Cell lengths 4.1597, 8.6348, 9.5102 Å; angles 103.59, 102.63, 90.00 degrees
Sites, in units of the cell vectors:
Tm (0.3353, 0.8934, 0.6706)
Tm (0.6749, 0.5672, 0.3497)
Tm (0.6647, 0.1066, 0.3294)
Tm (0.0079, 0.2486, 0.0158)
Tm (0.9921, 0.7514, 0.9842)
Tm (0.3251, 0.4328, 0.6503)
In (0.5000, 0.0000, 0.0000)
Te (0.5000, 0.5000, 0.0000)
Te (0.8335, 0.1681, 0.6670)
Te (0.1665, 0.8319, 0.3330)
As (0.8319, 0.6619, 0.6637)
As (0.1681, 0.3381, 0.3363)

***

(4)
An optimized crystal structure of YIn2TeAs. Source: Alexandria, functional PBE-GGA.

Properties
**VASP energy**: -3.449 eV per atom
**SG**: P4/mmm (123)

Cell lengths 5.6481, 5.3944, 5.6481 Å; angles 90.00, 90.00, 90.00 degrees
Sites, in units of the cell vectors:
Y (0.5000, 0.5000, 0.5000)
As (0.0000, 0.5000, 0.0000)
Te (0.0000, 0.0000, 0.0000)
In (0.0000, 0.0000, 0.5000)
In (0.5000, 0.0000, 0.0000)

***

(5)
An optimized crystal structure of Y4InTe2As. Source: Alexandria, functional PBE-GGA.

Properties
**VASP energy**: -6.107 eV per atom
**SG**: P2/m (10)

Cell lengths 4.2206, 7.5475, 7.5604 Å; angles 108.48, 90.00, 90.00 degrees
Sites, in units of the cell vectors:
Y (0.5000, 0.2343, 0.2239)
Y (0.5000, 0.7657, 0.7761)
Y (0.0000, 0.2458, 0.7626)
Y (0.0000, 0.7542, 0.2374)
In (0.5000, 0.5000, 0.0000)
Te (0.5000, 0.0000, 0.5000)
Te (0.0000, 0.5000, 0.5000)
As (0.0000, 0.0000, 0.0000)

***

(6)
An optimized crystal structure of Ti2InAs. Source: Alexandria, functional PBE-GGA.

Properties
**ΔH_f (0 K)**: -0.462 eV/f.u.
**SG**: Fm-3m (225)
**Offset from the most stable computed form**: 0.327 eV per atom

Cell lengths 4.6640, 4.6640, 4.6640 Å; angles 60.00, 60.00, 60.00 degrees
Sites, in units of the cell vectors:
As (0.0000, 0.0000, 0.0000)
Ti (0.2500, 0.2500, 0.2500)
Ti (0.7500, 0.7500, 0.7500)
In (0.5000, 0.5000, 0.5000)

***

(7)
An optimized crystal structure of TiInAs2. Source: Alexandria, functional PBE-GGA.

Properties
**ΔH_f (0 K)**: -1.299 eV/f.u.
**SG**: R3m (160)

Cell lengths 3.7161, 3.7161, 7.5307 Å; angles 75.72, 75.72, 60.00 degrees
Sites, in units of the cell vectors:
Ti (0.6661, 0.6661, 0.0018)
In (0.5004, 0.5004, 0.4989)
As (0.0685, 0.0685, 0.7944)
As (0.2650, 0.2650, 0.2049)

***

(8)
An optimized crystal structure of TiIn2As2. Source: Alexandria, functional PBE-GGA.

Properties
**ΔH_f (0 K)**: -0.586 eV/f.u.
**SG**: P4/mbm (127)

Cell lengths 6.8823, 6.8823, 4.5333 Å; angles 90.00, 90.00, 90.00 degrees
Sites, in units of the cell vectors:
As (0.3457, 0.8457, 0.0000)
As (0.8457, 0.6543, 0.0000)
As (0.6543, 0.1543, 0.0000)
As (0.1543, 0.3457, 0.0000)
Ti (0.0000, 0.0000, 0.0000)
Ti (0.5000, 0.5000, 0.0000)
In (0.1652, 0.6652, 0.5000)
In (0.6652, 0.8348, 0.5000)
In (0.8348, 0.3348, 0.5000)
In (0.3348, 0.1652, 0.5000)

***

(9)
An optimized crystal structure of TiInAs. Source: Alexandria, functional PBE-GGA.

Properties
**ΔH_f (0 K)**: -0.688 eV/f.u.
**SG**: P4/nmm (129)

Cell lengths 3.8871, 3.8871, 7.8482 Å; angles 90.00, 90.00, 90.00 degrees
Sites, in units of the cell vectors:
In (0.0000, 0.0000, 0.0000)
In (0.5000, 0.5000, 0.0000)
As (0.0000, 0.5000, 0.3540)
As (0.5000, 0.0000, 0.6460)
Ti (0.0000, 0.5000, 0.6884)
Ti (0.5000, 0.0000, 0.3116)

***

(10)
An optimized crystal structure of Ti2InAs. Source: Alexandria, functional PBE-GGA.

Properties
**ΔH_f (0 K)**: -1.770 eV/f.u.
**SG**: R3m (160)
**Offset from the most stable computed form**: 0.000 eV per atom

Cell lengths 3.4794, 3.4794, 7.6978 Å; angles 76.94, 76.94, 60.00 degrees
Sites, in units of the cell vectors:
Ti (0.0664, 0.0664, 0.8007)
Ti (0.2670, 0.2670, 0.1990)
In (0.4993, 0.4993, 0.5020)
As (0.6672, 0.6672, 0.9984)

***

(11)
An optimized crystal structure of Ti2InAs. Source: Alexandria, functional PBE-GGA.

Properties
**ΔH_f (0 K)**: -1.754 eV/f.u.
**SG**: R-3m (166)
**Offset from the most stable computed form**: 0.004 eV per atom

Cell lengths 3.4982, 3.4982, 7.6155 Å; angles 76.72, 76.72, 60.00 degrees
Sites, in units of the cell vectors:
As (0.0000, 0.0000, 0.0000)
Ti (0.2666, 0.2666, 0.2004)
Ti (0.7335, 0.7335, 0.7996)
In (0.5000, 0.5000, 0.5000)

***

(12)
An optimized crystal structure of Ti2In2As. Source: Alexandria, functional PBE-GGA.

Properties
**ΔH_f (0 K)**: -1.823 eV/f.u.
**SG**: P4/mbm (127)

Cell lengths 6.6367, 6.6367, 4.5443 Å; angles 90.00, 90.00, 90.00 degrees
Sites, in units of the cell vectors:
As (0.0000, 0.0000, 0.0000)
As (0.5000, 0.5000, 0.0000)
Ti (0.3442, 0.8442, 0.0000)
Ti (0.8442, 0.6558, 0.0000)
Ti (0.6558, 0.1558, 0.0000)
Ti (0.1558, 0.3442, 0.0000)
In (0.1566, 0.6566, 0.5000)
In (0.6566, 0.8434, 0.5000)
In (0.8434, 0.3434, 0.5000)
In (0.3434, 0.1566, 0.5000)

***

Copy entry 10 word for word.
An optimized crystal structure of Ti2InAs. Source: Alexandria, functional PBE-GGA.

Properties
**ΔH_f (0 K)**: -1.770 eV/f.u.
**SG**: R3m (160)
**Offset from the most stable computed form**: 0.000 eV per atom

Cell lengths 3.4794, 3.4794, 7.6978 Å; angles 76.94, 76.94, 60.00 degrees
Sites, in units of the cell vectors:
Ti (0.0664, 0.0664, 0.8007)
Ti (0.2670, 0.2670, 0.1990)
In (0.4993, 0.4993, 0.5020)
As (0.6672, 0.6672, 0.9984)

***

Repeat the twelfth record exactly.
An optimized crystal structure of Ti2In2As. Source: Alexandria, functional PBE-GGA.

Properties
**ΔH_f (0 K)**: -1.823 eV/f.u.
**SG**: P4/mbm (127)

Cell lengths 6.6367, 6.6367, 4.5443 Å; angles 90.00, 90.00, 90.00 degrees
Sites, in units of the cell vectors:
As (0.0000, 0.0000, 0.0000)
As (0.5000, 0.5000, 0.0000)
Ti (0.3442, 0.8442, 0.0000)
Ti (0.8442, 0.6558, 0.0000)
Ti (0.6558, 0.1558, 0.0000)
Ti (0.1558, 0.3442, 0.0000)
In (0.1566, 0.6566, 0.5000)
In (0.6566, 0.8434, 0.5000)
In (0.8434, 0.3434, 0.5000)
In (0.3434, 0.1566, 0.5000)